1.
This record from Alexandria describes a geometry-optimized InAg3Cl structure. The functional is PBE.

Summary:
- final energy (Ha/atom) = -0.0774
- energy above the most stable polymorph in this dataset (meV/atom) = 66
- D(E_F) (states/eV/f.u.) = 3.68
- symmetry = Pm-3m
- ΔE_f (raw) (eV/atom) = 0.52

```
data_InAg3Cl
_symmetry_space_group_name_H-M 'P 1'
_symmetry_Int_Tables_number 1
_symmetry_space_group_name_Hall 'P 1'
_cell_length_a 5.2993
_cell_length_b 5.2993
_cell_length_c 5.2993
_cell_angle_alpha 90.00
_cell_angle_beta 90.00
_cell_angle_gamma 90.00
loop_
_atom_site_label
_atom_site_fract_x
_atom_site_fract_y
_atom_site_fract_z
In1 0.0000 0.0000 0.0000
Ag1 0.0000 0.0000 0.5000
Ag2 0.0000 0.5000 0.0000
Ag3 0.5000 0.0000 0.0000
Cl1 0.5000 0.5000 0.5000
```



2.
This record from Alexandria describes a geometry-optimized InAgCl3 structure. The functional is PBE.

Summary:
- final energy (Ha/atom) = -0.0988
- D(E_F) (states/eV/f.u.) = 2.21
- symmetry = Pm-3m
- ΔE_f (raw) (eV/atom) = -0.46

```
data_InAgCl3
_symmetry_space_group_name_H-M 'P 1'
_symmetry_Int_Tables_number 1
_symmetry_space_group_name_Hall 'P 1'
_cell_length_a 5.2560
_cell_length_b 5.2560
_cell_length_c 5.2560
_cell_angle_alpha 90.00
_cell_angle_beta 90.00
_cell_angle_gamma 90.00
loop_
_atom_site_label
_atom_site_fract_x
_atom_site_fract_y
_atom_site_fract_z
In1 0.0000 0.0000 0.0000
Ag1 0.5000 0.5000 0.5000
Cl1 0.0000 0.0000 0.5000
Cl2 0.0000 0.5000 0.0000
Cl3 0.5000 0.0000 0.0000
```



3.
This record from Alexandria describes a geometry-optimized InAg3Cl structure. The functional is PBE.

Summary:
- final energy (Ha/atom) = -0.0798
- energy above the most stable polymorph in this dataset (meV/atom) = 0
- D(E_F) (states/eV/f.u.) = 2.98
- symmetry = Pm-3m
- ΔE_f (raw) (eV/atom) = 0.46

```
data_InAg3Cl
_symmetry_space_group_name_H-M 'P 1'
_symmetry_Int_Tables_number 1
_symmetry_space_group_name_Hall 'P 1'
_cell_length_a 5.0764
_cell_length_b 5.0764
_cell_length_c 5.0764
_cell_angle_alpha 90.00
_cell_angle_beta 90.00
_cell_angle_gamma 90.00
loop_
_atom_site_label
_atom_site_fract_x
_atom_site_fract_y
_atom_site_fract_z
In1 0.0000 0.0000 0.0000
Ag1 0.0000 0.5000 0.5000
Ag2 0.5000 0.0000 0.5000
Ag3 0.5000 0.5000 0.0000
Cl1 0.5000 0.5000 0.5000
```



| no. | V (Å³/f.u.) |
| --- | --- |
| 1 | 148.8 |
| 2 | 145.2 |
| 3 | 130.8 |